{
  "formula": "PrTmAl",
  "functional": "PBE",
  "state": "relaxed",
  "cell": [[3.6725, 0.0000, 0.0000], [0.0000, 5.1160, 0.0000], [0.0000, -2.5580, 4.4306]],
  "species": ["Tm", "Al", "Pr"],
  "frac_coords": [[0.9122, 0.0000, 0.0000], [0.7268, 0.6667, 0.3333], [0.3609, 0.3333, 0.6667]],
  "e_form_ev_per_atom": -0.136,
  "volume_a3_per_cell": 83,
  "total_energy_ev_per_atom": -4.47,
  "polymorph_energy_mev_per_atom": 81,
  "m_tot_mub_per_fu": 0.00
}

=====

{
  "formula": "MnAu2Br",
  "functional": "PBE",
  "state": "relaxed",
  "cell": [[-1.0402, -3.0591, -0.6224], [2.3005, -1.1827, 2.0339], [-4.6876, 0.4607, 5.5699]],
  "species": ["Br", "Mn", "Au", "Au"],
  "frac_coords": [[0.5000, 0.5000, 0.2500], [0.5000, 0.5000, 0.7500], [0.0000, 0.0000, 0.5390], [0.0000, 0.0000, 0.9610]],
  "volume_a3_per_cell": 79,
  "total_energy_ev_per_atom": -4.22,
  "e_form_raw_ev_per_atom": 0.1325,
  "polymorph_energy_mev_per_atom": 182,
  "m_tot_mub_per_fu": 4.09
}

=====

{
  "formula": "PmNdDy5Ho2",
  "functional": "PBE",
  "state": "relaxed",
  "cell": [[5.6181, 0.0000, 0.0000], [-2.8090, 9.9281, 0.0000], [0.0000, 0.0000, 10.6083]],
  "species": ["Dy", "Dy", "Dy", "Dy", "Dy", "Dy", "Dy", "Dy", "Dy", "Dy", "Ho", "Ho", "Ho", "Ho", "Pm", "Pm", "Nd", "Nd"],
  "frac_coords": [[0.9826, 0.9652, 0.5265], [0.4779, 0.9559, 0.7364], [0.7184, 0.4368, 0.8102], [0.3909, 0.7817, 0.0240], [0.2986, 0.5972, 0.7086], [0.5221, 0.0441, 0.2364], [0.7014, 0.4028, 0.2086], [0.6091, 0.2183, 0.5240], [0.2816, 0.5632, 0.3102], [0.0174, 0.0348, 0.0265], [0.1138, 0.2277, 0.3207], [0.1102, 0.2204, 0.7351], [0.8862, 0.7723, 0.8207], [0.8898, 0.7796, 0.2351], [0.7988, 0.5976, 0.5119], [0.2012, 0.4024, 0.0119], [0.4168, 0.8336, 0.4507], [0.5832, 0.1664, 0.9507]],
  "e_form_ev_per_atom": 0.158,
  "volume_a3_per_cell": 592,
  "total_energy_ev_per_atom": -4.47,
  "m_tot_mub_per_fu": 0.00
}